A plane-wave DFT calculation with GGA+U was carried out for a relaxed structure of Ac2MnAsO6.

a b c (Å): 5.764 5.764 4.082
angles (deg): 90.00 90.00 90.00
Positions (direct):
Ac 0.000 0.500 0.000
Ac 0.500 0.000 0.000
Mn 0.000 0.000 0.500
As 0.500 0.500 0.500
O 0.000 0.000 0.000
O 0.255 0.255 0.500
O 0.255 0.745 0.500
O 0.500 0.500 0.000
O 0.745 0.255 0.500
O 0.745 0.745 0.500

Output
* density: 8.32 g/cm3
* VASP energy: -7.331 eV/atom
* space group: P4/mmm (123)